Crystalline PuFeH2O6 at its relaxed geometry, computed with PBE with a Hubbard U.

## Properties
For the calculated total energy, the calculation gives -71.94 eV per formula unit.

The structure in CIF format:
```
data_PuFeH2O6
_chemical_formula_sum 'Pu1 Fe1 H2 O6'
_cell_length_a 5.085
_cell_length_b 5.134
_cell_length_c 5.518
_cell_angle_alpha 62.92
_cell_angle_beta 65.53
_cell_angle_gamma 65.61
_symmetry_space_group_name_H-M 'P -1'
_symmetry_Int_Tables_number 2
loop_
_symmetry_equiv_pos_as_xyz
'x,y,z'
'-x,-y,-z'
loop_
_atom_site_label
_atom_site_fract_x
_atom_site_fract_y
_atom_site_fract_z
Pu1 0.000 0.000 0.000
Fe1 0.500 0.500 0.500
H1 0.398 0.244 0.289
O1 0.147 0.356 0.745
O2 0.236 0.898 0.231
O3 0.415 0.726 0.731
```